# CaOsN2O, relaxed, DFT PBE
# **DOS(E_F)**: 3.9 states/eV/f.u.
# **Energy relative to the elements, uncorrected**: -280.5 kJ/mol of formula units
# **Total magnetization**: 0.00 μB/cell
data_CaOsN2O
_chemical_formula_sum 'Ca1 Os1 N2 O1'
_cell_length_a 3.8366
_cell_length_b 3.8366
_cell_length_c 4.0919
_cell_angle_alpha 90.00
_cell_angle_beta 90.00
_cell_angle_gamma 90.00
_symmetry_space_group_name_H-M 'P 4/m m m'
_symmetry_Int_Tables_number 123
_symmetry_space_group_name_Hall '-P 4 2'
loop_
_atom_site_label
_atom_site_type_symbol
_atom_site_fract_x
_atom_site_fract_y
_atom_site_fract_z
Ca1 Ca 0.0000 0.0000 0.0000
Os1 Os 0.5000 0.5000 0.5000
N1 N 0.0000 0.5000 0.5000
O1 O 0.5000 0.5000 0.0000